1.
Compound: Na8Hg3
Source: Alexandria via LeMat-Bulk
Functional: PBE
Structure: relaxed

Results
Final energy in eV/atom: -1.2120
Density of states at the Fermi level in states/eV/f.u.: 3.3
DFT formation energy in meV/atom: -170

Lattice parameters (Å, degrees): 9.2573 9.2573 18.2631 75.32 75.32 60.00
Last column: nearest neighbours and their distance in Å.
Atoms (fractional coordinates):
Hg 0.0000 0.0000 0.0000  8 Na 3.17-3.24
Hg 0.1581 0.1581 0.5256  10 Na 3.22-3.38
Hg 0.9342 0.5658 0.2500  10 Na 3.24-3.42
Hg 0.5000 0.5000 0.5000  8 Na 3.17-3.24
Hg 0.6581 0.6581 0.0256  10 Na 3.22-3.38
Hg 0.0658 0.4342 0.7500  10 Na 3.24-3.42
Hg 0.2500 0.9342 0.2500  10 Na 3.24-3.42
Hg 0.8419 0.8419 0.4744  10 Na 3.22-3.38
Hg 0.7500 0.0658 0.7500  10 Na 3.24-3.42
Hg 0.3419 0.3419 0.9744  10 Na 3.22-3.38
Hg 0.5658 0.2500 0.2500  10 Na 3.24-3.42
Hg 0.4342 0.7500 0.7500  10 Na 3.24-3.42
Na 0.3589 0.6213 0.1565  3 Hg 3.24-3.32, 6 Na 3.46-3.62
Na 0.8787 0.1411 0.3435  3 Hg 3.24-3.32, 6 Na 3.46-3.62
Na 0.0143 0.6401 0.0543  4 Hg 3.17-3.42, 3 Na 3.44-3.47
Na 0.2199 0.2199 0.3402  4 Na 3.15-3.44, 4 Hg 3.24-3.32
Na 0.9857 0.3599 0.9457  4 Hg 3.17-3.42, 3 Na 3.44-3.47
Na 0.5618 0.5618 0.3147  4 Hg 3.24-3.37, 6 Na 3.52-3.62
Na 0.2087 0.8599 0.4457  4 Hg 3.17-3.42, 3 Na 3.44-3.47
Na 0.7087 0.9857 0.9457  4 Hg 3.17-3.42, 3 Na 3.44-3.47
Na 0.7913 0.1401 0.5543  4 Hg 3.17-3.42, 3 Na 3.44-3.47
Na 0.8599 0.4857 0.4457  4 Hg 3.17-3.42, 3 Na 3.44-3.47
Na 0.3599 0.7087 0.9457  4 Hg 3.17-3.42, 3 Na 3.44-3.47
Na 0.6411 0.3787 0.8435  3 Hg 3.24-3.32, 6 Na 3.46-3.62
Na 0.7199 0.7199 0.8402  4 Na 3.15-3.44, 4 Hg 3.24-3.32
Na 0.1213 0.8589 0.6565  3 Hg 3.24-3.32, 6 Na 3.46-3.62
Na 0.6213 0.8633 0.1565  3 Hg 3.24-3.32, 6 Na 3.46-3.62
Na 0.2801 0.2801 0.1598  4 Na 3.15-3.44, 4 Hg 3.24-3.32
Na 0.6401 0.2913 0.0543  4 Hg 3.17-3.42, 3 Na 3.44-3.47
Na 0.4382 0.4382 0.6853  4 Hg 3.24-3.37, 6 Na 3.52-3.62
Na 0.0618 0.0618 0.8147  4 Hg 3.24-3.37, 6 Na 3.52-3.62
Na 0.1401 0.5143 0.5543  4 Hg 3.17-3.42, 3 Na 3.44-3.47
Na 0.8589 0.3633 0.6565  3 Hg 3.24-3.32, 6 Na 3.46-3.62
Na 0.8633 0.3589 0.1565  3 Hg 3.24-3.32, 6 Na 3.46-3.62
Na 0.6367 0.8787 0.3435  3 Hg 3.24-3.32, 6 Na 3.46-3.62
Na 0.5143 0.7913 0.5543  4 Hg 3.17-3.42, 3 Na 3.44-3.47
Na 0.3633 0.1213 0.6565  3 Hg 3.24-3.32, 6 Na 3.46-3.62
Na 0.2913 0.0143 0.0543  4 Hg 3.17-3.42, 3 Na 3.44-3.47
Na 0.3787 0.1367 0.8435  3 Hg 3.24-3.32, 6 Na 3.46-3.62
Na 0.1367 0.6411 0.8435  3 Hg 3.24-3.32, 6 Na 3.46-3.62
Na 0.1411 0.6367 0.3435  3 Hg 3.24-3.32, 6 Na 3.46-3.62
Na 0.9382 0.9382 0.1853  4 Hg 3.24-3.37, 6 Na 3.52-3.62
Na 0.7801 0.7801 0.6598  4 Na 3.15-3.44, 4 Hg 3.24-3.32
Na 0.4857 0.2087 0.4457  4 Hg 3.17-3.42, 3 Na 3.44-3.47

***

2.
Compound: Na6Hg7
Source: Alexandria via LeMat-Bulk
Functional: PBE
Structure: relaxed

Results
Final energy in eV/atom: -0.9525
Density of states at the Fermi level in states/eV/f.u.: 4.5
DFT formation energy in meV/atom: -181

Lattice parameters (Å, degrees): 6.1319 6.1319 11.4389 74.45 74.45 60.00
Last column: nearest neighbours and their distance in Å.
Atoms (fractional coordinates):
Na 0.4483 0.4483 0.6551  6 Hg 3.27, 2 Na 3.37-3.41
Na 0.8337 0.8337 0.4989  6 Hg 3.32-3.33, 3 Na 3.54
Na 0.1663 0.1663 0.5011  6 Hg 3.32-3.33, 3 Na 3.54
Na 0.6561 0.6561 0.0316  4 Na 3.41-3.61, 6 Hg 3.44-3.56
Na 0.3439 0.3439 0.9684  4 Na 3.41-3.61, 6 Hg 3.44-3.56
Na 0.5517 0.5517 0.3449  6 Hg 3.27, 2 Na 3.37-3.41
Hg 0.9114 0.9114 0.7589  5 Hg 3.02-3.18, 4 Na 3.27-3.33
Hg 0.0000 0.0000 0.0000  6 Hg 3.18, 6 Na 3.56
Hg 0.0886 0.5816 0.2411  5 Hg 3.02-3.18, 4 Na 3.27-3.33
Hg 0.0886 0.0886 0.2411  5 Hg 3.02-3.18, 4 Na 3.27-3.33
Hg 0.4184 0.9114 0.7589  5 Hg 3.02-3.18, 4 Na 3.27-3.33
Hg 0.5816 0.0886 0.2411  5 Hg 3.02-3.18, 4 Na 3.27-3.33
Hg 0.9114 0.4184 0.7589  5 Hg 3.02-3.18, 4 Na 3.27-3.33

***

3.
Compound: Na2Hg5
Source: Alexandria via LeMat-Bulk
Functional: PBE
Structure: relaxed

Results
Final energy in eV/atom: -0.7989
Density of states at the Fermi level in states/eV/f.u.: 1.7
DFT formation energy in meV/atom: -206

Lattice parameters (Å, degrees): 4.7348 5.5589 7.5965 97.69 90.00 115.21
Last column: nearest neighbours and their distance in Å.
Atoms (fractional coordinates):
Na 0.9214 0.8428 0.7711  11 Hg 3.19-3.39
Na 0.0786 0.1572 0.2289  11 Hg 3.19-3.39
Hg 0.3601 0.7201 0.0690  7 Hg 3.15-3.37, 5 Na 3.24-3.39
Hg 0.7876 0.5752 0.3490  4 Na 3.19-3.29, 8 Hg 3.27-3.46
Hg 0.5000 0.0000 0.5000  8 Hg 3.27-3.37, 4 Na 3.31
Hg 0.6399 0.2799 0.9310  7 Hg 3.15-3.37, 5 Na 3.24-3.39
Hg 0.2124 0.4248 0.6510  4 Na 3.19-3.29, 8 Hg 3.27-3.46

***

4.
Compound: Na3Hg7
Source: Alexandria via LeMat-Bulk
Functional: PBE
Structure: relaxed

Results
Final energy in eV/atom: -0.8055
Density of states at the Fermi level in states/eV/f.u.: 3.6
DFT formation energy in meV/atom: -198

Lattice parameters (Å, degrees): 4.7327 6.6319 9.6561 118.40 104.19 90.00
Last column: nearest neighbours and their distance in Å.
Atoms (fractional coordinates):
Hg 0.6045 0.8879 0.2090  5 Na 3.24-3.38, 7 Hg 3.29-3.34
Hg 0.4018 0.6170 0.8035  4 Na 3.29, 8 Hg 3.29-3.34
Hg 0.1986 0.2794 0.3971  5 Na 3.20-3.37, 7 Hg 3.30-3.51
Hg 0.0000 0.5000 0.0000  4 Na 3.19-3.32, 8 Hg 3.31-3.33
Hg 0.8014 0.7206 0.6029  5 Na 3.20-3.37, 7 Hg 3.30-3.51
Hg 0.5982 0.3830 0.1965  4 Na 3.29, 8 Hg 3.29-3.34
Hg 0.3955 0.1121 0.7910  5 Na 3.24-3.38, 7 Hg 3.29-3.34
Na 0.0000 0.0000 0.0000  12 Hg 3.24-3.38
Na 0.8048 0.2339 0.6096  10 Hg 3.19-3.37
Na 0.1952 0.7661 0.3904  10 Hg 3.19-3.37

***

5.
Compound: Na3Hg13
Source: Alexandria via LeMat-Bulk
Functional: PBE
Structure: relaxed

Results
Final energy in eV/atom: -0.6155
Density of states at the Fermi level in states/eV/f.u.: 5.9
DFT formation energy in meV/atom: -123

Lattice parameters (Å, degrees): 6.7826 6.7826 9.2419 90.00 90.00 92.42
Last column: nearest neighbours and their distance in Å.
Atoms (fractional coordinates):
Hg 0.4821 0.5179 0.2518  10 Hg 3.17-3.46, 1 Na 3.26
Hg 0.5130 0.0199 0.2486  3 Na 3.19-3.46, 9 Hg 3.21-3.50
Hg 0.2524 0.7476 0.0000  10 Hg 3.24-3.46, 2 Na 3.32
Hg 0.2665 0.2403 0.5000  2 Na 3.25, 10 Hg 3.26-3.50
Hg 0.2580 0.7420 0.5000  10 Hg 3.17-3.42, 2 Na 3.22
Hg 0.7597 0.7335 0.5000  2 Na 3.25, 10 Hg 3.26-3.50
Hg 0.4821 0.5179 0.7482  10 Hg 3.17-3.46, 1 Na 3.26
Hg 0.9801 0.4870 0.2486  3 Na 3.19-3.46, 9 Hg 3.21-3.50
Hg 0.7630 0.7824 0.0000  4 Na 3.23-3.44, 8 Hg 3.31-3.46
Hg 0.7795 0.2205 0.5000  8 Hg 3.21-3.49, 2 Na 3.23
Hg 0.5130 0.0199 0.7514  3 Na 3.19-3.46, 9 Hg 3.21-3.50
Hg 0.2176 0.2370 0.0000  4 Na 3.23-3.44, 8 Hg 3.31-3.46
Hg 0.9801 0.4870 0.7514  3 Na 3.19-3.46, 9 Hg 3.21-3.50
Na 0.0191 0.9809 0.7400  11 Hg 3.22-3.46
Na 0.0191 0.9809 0.2600  11 Hg 3.22-3.46
Na 0.7147 0.2853 0.0000  10 Hg 3.19-3.44

***

6.
Compound: Na3Hg13
Source: Alexandria via LeMat-Bulk
Functional: PBE
Structure: relaxed

Results
Final energy in eV/atom: -0.6297
Density of states at the Fermi level in states/eV/f.u.: 6.1
DFT formation energy in meV/atom: -137

Lattice parameters (Å, degrees): 6.6776 6.6776 10.6324 90.00 90.00 118.16
Last column: nearest neighbours and their distance in Å.
Atoms (fractional coordinates):
Hg 0.4794 0.0161 0.2476  8 Hg 3.20-3.46, 3 Na 3.26-3.35
Hg 0.4794 0.0161 0.7524  8 Hg 3.20-3.46, 3 Na 3.26-3.35
Hg 0.7525 0.2475 0.5000  10 Hg 3.19-3.51
Hg 0.8172 0.6928 0.0000  8 Hg 3.22-3.50, 4 Na 3.30-3.38
Hg 0.7007 0.7469 0.5000  5 Hg 3.07-3.19, 2 Na 3.24
Hg 0.1976 0.8024 0.5000  8 Hg 3.16-3.49
Hg 0.9839 0.5206 0.7524  8 Hg 3.20-3.46, 3 Na 3.26-3.35
Hg 0.9839 0.5206 0.2476  8 Hg 3.20-3.46, 3 Na 3.26-3.35
Hg 0.8118 0.1882 0.0000  8 Hg 3.28-3.35, 4 Na 3.31-3.43
Hg 0.3072 0.1828 0.0000  8 Hg 3.22-3.50, 4 Na 3.30-3.38
Hg 0.4815 0.5185 0.2392  8 Hg 3.17-3.35, 3 Na 3.21-3.43
Hg 0.4815 0.5185 0.7608  8 Hg 3.17-3.35, 3 Na 3.21-3.43
Hg 0.2531 0.2993 0.5000  5 Hg 3.07-3.19, 2 Na 3.24
Na 0.9800 0.0200 0.2529  12 Hg 3.24-3.62
Na 0.9800 0.0200 0.7471  12 Hg 3.24-3.62
Na 0.3103 0.6897 0.0000  12 Hg 3.21-3.43

***

7.
Compound: NaHg2
Source: Alexandria via LeMat-Bulk
Functional: PBE
Structure: relaxed

Results
Final energy in eV/atom: -0.8502
Density of states at the Fermi level in states/eV/f.u.: 0.8
DFT formation energy in meV/atom: -209

Lattice parameters (Å, degrees): 5.2005 6.3326 9.3534 90.00 90.00 90.00
Last column: nearest neighbours and their distance in Å.
Atoms (fractional coordinates):
Hg 0.7500 0.3084 0.0866  5 Na 3.11-3.18, 3 Hg 3.22-3.30
Hg 0.7500 0.8084 0.4134  5 Na 3.11-3.18, 3 Hg 3.22-3.30
Hg 0.7500 0.4658 0.7591  7 Hg 3.17-3.52, 5 Na 3.33-3.47
Hg 0.2500 0.6916 0.9134  5 Na 3.11-3.18, 3 Hg 3.22-3.30
Hg 0.7500 0.9658 0.7409  7 Hg 3.17-3.52, 5 Na 3.33-3.47
Hg 0.2500 0.0342 0.2591  7 Hg 3.17-3.52, 5 Na 3.33-3.47
Hg 0.2500 0.5342 0.2409  7 Hg 3.17-3.52, 5 Na 3.33-3.47
Hg 0.2500 0.1916 0.5866  5 Na 3.11-3.18, 3 Hg 3.22-3.30
Na 0.7500 0.3103 0.4186  10 Hg 3.11-3.47
Na 0.7500 0.8103 0.0814  10 Hg 3.11-3.47
Na 0.2500 0.1897 0.9186  10 Hg 3.11-3.47
Na 0.2500 0.6897 0.5814  10 Hg 3.11-3.47

***

8.
Compound: Na2Hg5
Source: Alexandria via LeMat-Bulk
Functional: PBE
Structure: relaxed

Results
Final energy in eV/atom: -0.7734
Density of states at the Fermi level in states/eV/f.u.: 2.2
DFT formation energy in meV/atom: -181

Lattice parameters (Å, degrees): 5.5022 8.7526 8.0349 95.00 110.02 90.00
Last column: nearest neighbours and their distance in Å.
Atoms (fractional coordinates):
Hg 0.7788 0.2500 0.0000  4 Hg 3.15-3.45, 6 Na 3.23-3.33
Hg 0.6403 0.5462 0.7286  4 Na 3.12-3.29, 6 Hg 3.23-3.48
Hg 0.3597 0.4538 0.2714  4 Na 3.12-3.29, 6 Hg 3.23-3.48
Hg 0.0627 0.6878 0.5832  8 Hg 3.15-3.46, 2 Na 3.20-3.32
Hg 0.2212 0.7500 0.0000  4 Hg 3.15-3.45, 6 Na 3.23-3.33
Hg 0.0883 0.0462 0.7286  4 Na 3.12-3.29, 6 Hg 3.23-3.48
Hg 0.5206 0.1878 0.5832  8 Hg 3.15-3.46, 2 Na 3.20-3.32
Hg 0.4794 0.8122 0.4168  8 Hg 3.15-3.46, 2 Na 3.20-3.32
Hg 0.9117 0.9538 0.2714  4 Na 3.12-3.29, 6 Hg 3.23-3.48
Hg 0.9373 0.3122 0.4168  8 Hg 3.15-3.46, 2 Na 3.20-3.32
Na 0.6397 0.8979 0.8364  9 Hg 3.12-3.33
Na 0.8033 0.6021 0.1636  9 Hg 3.12-3.33
Na 0.1967 0.3979 0.8364  9 Hg 3.12-3.33
Na 0.3603 0.1021 0.1636  9 Hg 3.12-3.33

***

9.
Compound: Na11Hg4
Source: Alexandria via LeMat-Bulk
Functional: PBE
Structure: relaxed

Results
Final energy in eV/atom: -1.1461
Density of states at the Fermi level in states/eV/f.u.: 5.6
DFT formation energy in meV/atom: -98

Lattice parameters (Å, degrees): 6.5432 11.9388 11.9388 90.00 90.00 90.00
Last column: nearest neighbours and their distance in Å.
Atoms (fractional coordinates):
Na 0.5000 0.5000 0.5000  12 Na 3.58-3.70
Na 0.0000 0.6002 0.3998  2 Hg 3.04, 1 Na 3.38
Na 0.7480 0.1960 0.8040  6 Na 3.25-3.52, 2 Hg 3.63
Na 0.2480 0.6960 0.6960  6 Na 3.25-3.52, 2 Hg 3.63
Na 0.5000 0.7966 0.4558  4 Hg 3.10-3.33
Na 0.0000 0.3998 0.6002  2 Hg 3.04, 1 Na 3.38
Na 0.7480 0.8040 0.1960  6 Na 3.25-3.52, 2 Hg 3.63
Na 0.2520 0.1960 0.8040  6 Na 3.25-3.52, 2 Hg 3.63
Na 0.7520 0.6960 0.6960  6 Na 3.25-3.52, 2 Hg 3.63
Na 0.0000 0.0000 0.0000  12 Na 3.58-3.70
Na 0.2480 0.3040 0.3040  6 Na 3.25-3.52, 2 Hg 3.63
Na 0.0000 0.7034 0.9558  4 Hg 3.10-3.33
Na 0.0000 0.0442 0.2966  4 Hg 3.10-3.33
Na 0.5000 0.1002 0.1002  2 Hg 3.04, 1 Na 3.38
Na 0.0000 0.2966 0.0442  4 Hg 3.10-3.33
Na 0.5000 0.5442 0.2034  4 Hg 3.10-3.33
Na 0.5000 0.4558 0.7966  4 Hg 3.10-3.33
Na 0.7520 0.3040 0.3040  6 Na 3.25-3.52, 2 Hg 3.63
Na 0.0000 0.9558 0.7034  4 Hg 3.10-3.33
Na 0.5000 0.2034 0.5442  4 Hg 3.10-3.33
Na 0.5000 0.8998 0.8998  2 Hg 3.04, 1 Na 3.38
Na 0.2520 0.8040 0.1960  6 Na 3.25-3.52, 2 Hg 3.63
Hg 0.5000 0.3455 0.0317  5 Na 3.04-3.33
Hg 0.0000 0.5317 0.1545  5 Na 3.04-3.33
Hg 0.5000 0.6545 0.9683  5 Na 3.04-3.33
Hg 0.0000 0.8455 0.4683  5 Na 3.04-3.33
Hg 0.0000 0.4683 0.8455  5 Na 3.04-3.33
Hg 0.5000 0.0317 0.3455  5 Na 3.04-3.33
Hg 0.5000 0.9683 0.6545  5 Na 3.04-3.33
Hg 0.0000 0.1545 0.5317  5 Na 3.04-3.33